No. 1
MnCuRe2, relaxed, DFT PBE; SG = F-43m, No. 216; E above lowest polymorph = 84 meV/atom; total moment = 2.86 μB per formula unit; energy of formation = 0.252 eV/atom; DFT total energy = -0.341 Ha/atom
1.0
6.065 0.000 0.000
0.000 6.065 0.000
0.000 0.000 6.065
Mn Cu Re
4 4 8
Direct
0.000 0.000 0.000
0.000 0.500 0.500
0.500 0.000 0.500
0.500 0.500 0.000
0.250 0.250 0.750
0.250 0.750 0.250
0.750 0.250 0.250
0.750 0.750 0.750
0.000 0.000 0.500
0.000 0.500 0.000
0.250 0.250 0.250
0.250 0.750 0.750
0.500 0.000 0.000
0.500 0.500 0.500
0.750 0.250 0.750
0.750 0.750 0.250

=====

No. 2
MnCuRe, relaxed, DFT PBE; SG = I4mm, No. 107; E above lowest polymorph = 41 meV/atom; total moment = 1.11 μB per formula unit; energy of formation = 0.227 eV/atom; DFT total energy = -0.307 Ha/atom
1.0
3.078 0.000 0.000
0.000 3.078 0.000
0.000 0.000 8.145
Mn Cu Re
2 2 2
Direct
0.000 0.000 0.000
0.500 0.500 0.500
0.000 0.000 0.337
0.500 0.500 0.837
0.000 0.000 0.658
0.500 0.500 0.158

=====

No. 3
MnCuRe2, relaxed, DFT PBE; SG = I-42d, No. 122; E above lowest polymorph = 613 meV/atom; total moment = 0.00 μB per formula unit; energy of formation = 0.781 eV/atom; DFT total energy = -0.322 Ha/atom
1.0
6.811 0.000 0.000
0.000 6.811 0.000
0.000 0.000 5.092
Mn Cu Re
4 4 8
Direct
0.000 0.000 0.000
0.000 0.500 0.250
0.500 0.000 0.750
0.500 0.500 0.500
0.000 0.000 0.500
0.000 0.500 0.750
0.500 0.000 0.250
0.500 0.500 0.000
0.207 0.250 0.125
0.250 0.707 0.375
0.250 0.793 0.875
0.293 0.250 0.625
0.707 0.750 0.625
0.750 0.207 0.875
0.750 0.293 0.375
0.793 0.750 0.125

=====

No. 4
MnCuRe2, relaxed, DFT PBE; SG = C2/m, No. 12; E above lowest polymorph = 51 meV/atom; total moment = 1.93 μB per formula unit; energy of formation = 0.220 eV/atom; DFT total energy = -0.343 Ha/atom
1.0
8.859 0.000 0.000
0.000 2.745 0.000
-0.958 0.000 4.523
Mn Cu Re
2 2 4
Direct
0.000 0.000 0.000
0.500 0.500 0.000
0.000 0.500 0.500
0.500 0.000 0.500
0.243 0.500 0.245
0.257 0.000 0.755
0.743 0.000 0.245
0.757 0.500 0.755

=====

No. 5
MnCuRe2, relaxed, DFT PBE; SG = Cmmm, No. 65; E above lowest polymorph = 82 meV/atom; total moment = 1.44 μB per formula unit; energy of formation = 0.250 eV/atom; DFT total energy = -0.341 Ha/atom
1.0
5.300 0.000 0.000
0.000 7.702 0.000
0.000 0.000 2.632
Mn Cu Re
2 2 4
Direct
0.000 0.000 0.000
0.500 0.500 0.000
0.000 0.500 0.000
0.500 0.000 0.000
0.250 0.250 0.500
0.250 0.750 0.500
0.750 0.250 0.500
0.750 0.750 0.500

=====

No. 6
MnCuRe2, relaxed, DFT PBE; SG = Fm-3m, No. 225; E above lowest polymorph = 204 meV/atom; total moment = 1.11 μB per formula unit; energy of formation = 0.372 eV/atom; DFT total energy = -0.337 Ha/atom
1.0
5.972 0.000 0.000
0.000 5.972 0.000
0.000 0.000 5.972
Mn Cu Re
4 4 8
Direct
0.000 0.000 0.000
0.000 0.500 0.500
0.500 0.000 0.500
0.500 0.500 0.000
0.000 0.000 0.500
0.000 0.500 0.000
0.500 0.000 0.000
0.500 0.500 0.500
0.250 0.250 0.250
0.250 0.250 0.750
0.250 0.750 0.250
0.250 0.750 0.750
0.750 0.250 0.250
0.750 0.250 0.750
0.750 0.750 0.250
0.750 0.750 0.750

=====

No. 7
MnCuRe, relaxed, DFT PBE; SG = F-43m, No. 216; E above lowest polymorph = 485 meV/atom; total moment = 0.99 μB per formula unit; energy of formation = 0.671 eV/atom; DFT total energy = -0.290 Ha/atom
1.0
5.611 0.000 0.000
0.000 5.611 0.000
0.000 0.000 5.611
Mn Cu Re
4 4 4
Direct
0.000 0.000 0.000
0.000 0.500 0.500
0.500 0.000 0.500
0.500 0.500 0.000
0.250 0.250 0.750
0.250 0.750 0.250
0.750 0.250 0.250
0.750 0.750 0.750
0.250 0.250 0.250
0.250 0.750 0.750
0.750 0.250 0.750
0.750 0.750 0.250

=====

No. 8
MnCuRe, relaxed, DFT PBE; SG = R3m, No. 160; E above lowest polymorph = 46 meV/atom; total moment = 0.00 μB per formula unit; energy of formation = 0.233 eV/atom; DFT total energy = -0.306 Ha/atom
1.0
2.667 0.000 0.000
-1.334 2.310 0.000
0.000 0.000 19.089
Mn Cu Re
3 3 3
Direct
0.000 0.000 0.000
0.333 0.667 0.667
0.667 0.333 0.333
0.000 0.000 0.222
0.333 0.667 0.889
0.667 0.333 0.556
0.000 0.000 0.770
0.333 0.667 0.437
0.667 0.333 0.104

=====

No. 9
MnCuRe2, relaxed, DFT PBE; SG = P4/mmm, No. 123; E above lowest polymorph = 48 meV/atom; total moment = 0.00 μB per formula unit; energy of formation = 0.216 eV/atom; DFT total energy = -0.343 Ha/atom
1.0
2.666 0.000 0.000
0.000 2.666 0.000
0.000 0.000 7.489
Mn Cu Re
1 1 2
Direct
0.000 0.000 0.000
0.000 0.000 0.500
0.500 0.500 0.238
0.500 0.500 0.762

=====

No. 10
MnCuRe2, relaxed, DFT PBE; SG = Cmm2, No. 35; E above lowest polymorph = 107 meV/atom; total moment = 2.62 μB per formula unit; energy of formation = 0.275 eV/atom; DFT total energy = -0.341 Ha/atom
1.0
3.112 0.000 0.000
0.000 4.278 0.000
0.000 0.000 8.394
Mn Cu Re
2 2 4
Direct
0.000 0.000 0.000
0.500 0.500 0.000
0.000 0.500 0.761
0.500 0.000 0.761
0.000 0.000 0.504
0.000 0.500 0.239
0.500 0.000 0.239
0.500 0.500 0.504